! RbRe3Ag PBEsol optimized geometry; values from VASP
! Formation energy   4158 meV/atom
! Crystal system   cubic
&SYSTEM
  ibrav = 0, nat = 5, ntyp = 3
/
ATOMIC_SPECIES
Rb 85.47 Rb.upf
Re 186.21 Re.upf
Ag 107.87 Ag.upf
ATOMIC_POSITIONS angstrom
Rb 0.000 0.000 0.000
Re 0.000 0.000 2.311
Re 0.000 2.311 0.000
Re 2.311 0.000 0.000
Ag 2.311 2.311 2.311
CELL_PARAMETERS angstrom
4.622 0.000 0.000
0.000 4.622 0.000
0.000 0.000 4.622

***

! RbAg2Rh PBEsol optimized geometry; values from VASP
! Formation energy   821 meV/atom
! Crystal system   cubic
&SYSTEM
  ibrav = 0, nat = 4, ntyp = 3
/
ATOMIC_SPECIES
Rb 85.47 Rb.upf
Ag 107.87 Ag.upf
Rh 102.91 Rh.upf
ATOMIC_POSITIONS angstrom
Rb 0.000 0.000 0.000
Ag 1.720 1.720 1.720
Ag 5.159 5.159 5.159
Rh 3.439 3.439 3.439
CELL_PARAMETERS angstrom
0.000 3.439 3.439
3.439 0.000 3.439
3.439 3.439 0.000

***

! RbTcAgRu2 PBEsol optimized geometry; values from VASP
! Formation energy   3175 meV/atom
! Crystal system   tetragonal
&SYSTEM
  ibrav = 0, nat = 5, ntyp = 4
/
ATOMIC_SPECIES
Rb 85.47 Rb.upf
Tc 98.00 Tc.upf
Ag 107.87 Ag.upf
Ru 101.07 Ru.upf
ATOMIC_POSITIONS angstrom
Rb 0.000 0.000 0.000
Tc 0.000 0.000 2.322
Ag 2.303 2.303 2.322
Ru 0.000 2.303 0.000
Ru 2.303 0.000 0.000
CELL_PARAMETERS angstrom
4.606 0.000 0.000
0.000 4.606 0.000
0.000 0.000 4.645

***

! RbAg3S2 PBEsol optimized geometry; values from VASP
! Electronic total energy   -22.1 eV/f.u.
! Crystal system   monoclinic
&SYSTEM
  ibrav = 0, nat = 12, ntyp = 3
/
ATOMIC_SPECIES
Rb 85.47 Rb.upf
Ag 107.87 Ag.upf
S 32.06 S.upf
ATOMIC_POSITIONS angstrom
Rb 1.971 0.000 0.343
Rb 10.210 0.000 7.585
Ag -0.504 0.000 3.183
Ag 2.822 0.000 4.639
Ag 5.121 0.000 2.781
Ag 7.060 0.000 5.148
Ag 9.359 0.000 3.290
Ag 12.685 0.000 4.746
S 0.578 0.000 5.565
S 4.798 0.000 6.183
S 7.383 0.000 1.746
S 11.603 0.000 2.363
CELL_PARAMETERS angstrom
7.868 -2.109 0.000
7.868 2.109 0.000
-3.556 0.000 7.929

***

! Rb2AgS2 PBEsol optimized geometry; values from VASP
! Electronic total energy   -16.7 eV/f.u.
! Crystal system   tetragonal
&SYSTEM
  ibrav = 0, nat = 5, ntyp = 3
/
ATOMIC_SPECIES
Rb 85.47 Rb.upf
Ag 107.87 Ag.upf
S 32.06 S.upf
ATOMIC_POSITIONS angstrom
Rb 3.221 0.000 2.717
Rb 0.000 3.221 2.717
Ag 0.000 0.000 0.000
S 0.000 0.000 2.254
S 0.000 0.000 8.615
CELL_PARAMETERS angstrom
-3.221 3.221 5.434
3.221 -3.221 5.434
3.221 3.221 -5.434

***

! RbAg2S2 PBEsol optimized geometry; values from VASP
! Electronic total energy   -18.0 eV/f.u.
! Crystal system   tetragonal
&SYSTEM
  ibrav = 0, nat = 5, ntyp = 3
/
ATOMIC_SPECIES
Rb 85.47 Rb.upf
Ag 107.87 Ag.upf
S 32.06 S.upf
ATOMIC_POSITIONS angstrom
Rb 0.000 0.000 0.000
Ag 0.000 0.000 3.178
Ag 0.000 0.000 7.540
S 2.470 0.000 2.680
S 0.000 2.470 2.680
CELL_PARAMETERS angstrom
-2.470 2.470 5.359
2.470 -2.470 5.359
2.470 2.470 -5.359

***

! Rb2AgSbS4 PBEsol optimized geometry; values from VASP
! Electronic total energy   -32.5 eV/f.u.
! Crystal system   monoclinic
&SYSTEM
  ibrav = 0, nat = 32, ntyp = 4
/
ATOMIC_SPECIES
Rb 85.47 Rb.upf
Ag 107.87 Ag.upf
Sb 121.76 Sb.upf
S 32.06 S.upf
ATOMIC_POSITIONS angstrom
Rb -0.875 0.123 2.392
Rb -4.704 5.244 7.516
Rb -0.913 7.835 5.170
Rb 2.916 8.266 0.046
Rb -2.426 2.468 10.203
Rb 1.403 2.899 5.078
Rb 5.194 5.490 2.732
Rb 1.365 10.611 7.857
Ag 1.123 5.693 2.311
Ag -2.707 10.408 7.436
Ag 3.197 0.326 2.813
Ag -0.632 5.041 7.937
Sb -2.635 2.387 5.528
Sb 1.195 2.980 0.404
Sb -0.705 7.754 9.845
Sb 3.125 8.347 4.721
S -0.032 7.780 1.651
S -3.861 8.321 6.775
S -4.080 1.927 7.337
S -0.251 3.440 2.213
S 2.151 0.809 0.608
S -1.678 4.558 5.732
S -1.015 0.682 5.631
S 2.814 4.685 0.507
S -2.324 6.049 9.742
S 1.505 10.053 4.618
S 2.168 6.176 4.516
S -1.661 9.925 9.641
S 0.741 7.294 8.036
S 4.570 8.808 2.911
S 4.351 2.413 3.473
S 0.522 2.954 8.598
CELL_PARAMETERS angstrom
8.148 0.000 0.000
0.000 10.734 0.000
-7.658 0.000 10.249

***

! Rb2VAgS4 PBEsol optimized geometry; values from VASP
! Electronic total energy   -40.2 eV/f.u.
! Crystal system   orthorhombic
&SYSTEM
  ibrav = 0, nat = 16, ntyp = 4
/
ATOMIC_SPECIES
Rb 85.47 Rb.upf
V 50.94 V.upf
Ag 107.87 Ag.upf
S 32.06 S.upf
ATOMIC_POSITIONS angstrom
Rb 2.137 4.975 1.268
Rb 3.561 8.291 7.004
Rb 2.137 4.975 15.941
Rb 3.561 8.291 21.678
V 0.712 1.658 2.868
V 4.986 11.608 20.077
Ag 2.137 4.975 8.604
Ag 3.561 8.291 14.341
S 1.893 2.955 4.144
S 3.805 6.271 9.880
S 2.380 6.995 4.144
S 2.380 2.955 13.065
S 3.318 10.311 9.880
S 3.318 6.271 18.802
S 1.893 6.995 13.065
S 3.805 10.311 18.802
CELL_PARAMETERS angstrom
0.000 6.633 11.473
2.849 0.000 11.473
2.849 6.633 0.000

***

! RbAg2Sb2 PBEsol optimized geometry; values from VASP
! Electronic total energy   -17.7 eV/f.u.
! Crystal system   tetragonal
&SYSTEM
  ibrav = 0, nat = 5, ntyp = 3
/
ATOMIC_SPECIES
Rb 85.47 Rb.upf
Ag 107.87 Ag.upf
Sb 121.76 Sb.upf
ATOMIC_POSITIONS angstrom
Rb 0.000 0.000 0.000
Ag 2.408 0.000 2.880
Ag 0.000 2.408 2.880
Sb 0.000 0.000 4.319
Sb 0.000 0.000 7.200
CELL_PARAMETERS angstrom
-2.408 2.408 5.759
2.408 -2.408 5.759
2.408 2.408 -5.759

***

! Rb2ZrAgSb PBEsol optimized geometry; values from VASP
! Electronic total energy   -16.0 eV/f.u.
! Crystal system   tetragonal
&SYSTEM
  ibrav = 0, nat = 5, ntyp = 4
/
ATOMIC_SPECIES
Rb 85.47 Rb.upf
Zr 91.22 Zr.upf
Ag 107.87 Ag.upf
Sb 121.76 Sb.upf
ATOMIC_POSITIONS angstrom
Rb 0.000 3.422 0.000
Rb 3.422 0.000 0.000
Zr 0.000 0.000 2.748
Ag 3.422 3.422 2.748
Sb 0.000 0.000 0.000
CELL_PARAMETERS angstrom
6.844 0.000 0.000
0.000 6.844 0.000
0.000 0.000 5.495

***

! Rb2ZrScAg PBEsol optimized geometry; values from VASP
! Formation energy   1586 meV/atom
! Crystal system   tetragonal
&SYSTEM
  ibrav = 0, nat = 5, ntyp = 4
/
ATOMIC_SPECIES
Rb 85.47 Rb.upf
Zr 91.22 Zr.upf
Sc 44.96 Sc.upf
Ag 107.87 Ag.upf
ATOMIC_POSITIONS angstrom
Rb 0.000 3.224 0.000
Rb 3.224 0.000 0.000
Zr 0.000 0.000 2.480
Sc 3.224 3.224 0.000
Ag 3.224 3.224 2.480
CELL_PARAMETERS angstrom
6.447 0.000 0.000
0.000 6.447 0.000
0.000 0.000 4.959

***

! RbAg3Se2 PBEsol optimized geometry; values from VASP
! Electronic total energy   -21.1 eV/f.u.
! Crystal system   monoclinic
&SYSTEM
  ibrav = 0, nat = 12, ntyp = 3
/
ATOMIC_SPECIES
Rb 85.47 Rb.upf
Ag 107.87 Ag.upf
Se 78.96 Se.upf
ATOMIC_POSITIONS angstrom
Rb 2.082 0.000 0.400
Rb 10.748 0.000 7.695
Ag -0.494 0.000 3.246
Ag 3.136 0.000 4.538
Ag 5.467 0.000 2.906
Ag 7.363 0.000 5.190
Ag 9.694 0.000 3.557
Ag 13.324 0.000 4.850
Se 0.782 0.000 5.639
Se 5.079 0.000 6.388
Se 7.751 0.000 1.707
Se 12.048 0.000 2.457
CELL_PARAMETERS angstrom
8.167 -2.157 0.000
8.167 2.157 0.000
-3.505 0.000 8.096

***

The calculation returns the following V values, one per record and in order: 99 81 99 132 225 131 224 217 134 257 206 143 Å³/f.u..